A relaxed V2Fe3SbP6O24 crystal, computed with GGA+U.

Output
The crystal system is trigonal. As for the total energy: -7.175 eV/atom. The value obtained for the total magnetization is 0.58 μB per atom.

Cell and atoms, written as extended XYZ:
```
36
Lattice="4.3251 2.4971 7.0716 -4.3251 2.4971 7.0716 0.0000 -4.9942 7.0716" Properties=species:S:1:pos:R:3 pbc="T T T"
V 0.0000 0.0000 0.0000
V 0.0000 0.0000 10.5290
Fe 0.0000 0.0000 3.0751
Fe 0.0000 0.0000 7.5176
Fe 0.0000 0.0000 18.1504
Sb 0.0000 0.0000 13.6611
P -3.0593 -0.2707 8.8658
P -1.2833 -2.8199 12.3859
P 1.7640 -2.5141 8.8659
P -1.8004 2.5213 12.3859
P 1.2952 2.7847 8.8658
P 3.0838 0.2985 12.3859
O -3.6838 1.1327 8.7047
O -2.8088 -2.5981 12.4980
O -0.8930 -1.4534 6.5885
O -0.8303 -3.4968 11.1042
O -1.5162 -0.1671 8.9455
O 0.8609 -3.7566 8.7047
O -0.8122 1.5001 6.5885
O -2.6132 2.4675 11.1042
O -0.6141 -1.3480 12.2618
O 0.9028 -1.2295 8.9455
O -1.7212 -0.0275 14.5966
O 1.7052 -0.0467 6.5885
O -0.8604 1.2058 12.2618
O 0.6134 1.3966 8.9455
O -1.6653 -0.0592 17.1544
O 0.8844 -1.4769 14.5966
O -0.8456 3.7315 12.4980
O 1.4744 0.1422 12.2618
O 0.8839 -1.4126 17.1544
O 0.8368 1.5044 14.5966
O 2.8229 2.6239 8.7047
O 3.6544 -1.1334 12.4980
O 3.4435 1.0293 11.1042
O 0.7814 1.4718 17.1544
```